No. 1
Computed, not measured: a geometry-optimized YSbHI2 structure at the PBE-GGA level of DFT.

The space group is P4/mmm (No. 123) and the conventional cell measures 6.064, 6.064 and 6.176 Å, with angles of 90.00, 90.00 and 90.00 degrees. The distinct sites, in fractional coordinates, are Y at (0.000, 0.000, 0.000), Sb at (0.000, 0.000, 0.500), H at (0.500, 0.500, 0.500) and I at (0.000, 0.500, 0.000).

The value obtained for the energy above the most stable polymorph in this dataset is 0.0505 eV per atom. The magnetic moment is 0.603 μB/atom. Its uncorrected energy is -3.40 eV/atom. As for the density of states at the Fermi level: 0.187 states/eV per atom.

***

No. 2
Computed, not measured: a geometry-optimized Li3Ce3NbS8 structure at the PBE-GGA level of DFT.

The space group is R-3m (No. 166, hexagonal axes) and the conventional cell measures 7.8680, 7.8680 and 18.5188 Å, with angles of 90.00, 90.00 and 120.00 degrees. The distinct sites, in fractional coordinates, are Li at (0.0000, 0.5000, 0.0000), Ce at (0.0000, 0.5000, 0.5000), Nb at (0.0000, 0.0000, 0.5000), S at (0.0000, 0.0000, 0.2539) and S at (0.0261, 0.5130, 0.2472).

The magnetic moment is 0.269 μB/atom. Its uncorrected energy is -6.01 eV/atom. As for the density of states at the Fermi level: 1.034 states/eV per atom.